No. 1
Ce3ScPa2N6 | PBE | relaxed

Results
- Formation energy from raw total energies: -1.62 eV/atom
- E_tot: -9.38 eV/atom
- Size of the total moment: 0.0 μB per formula unit
- Symmetry: No. 12

a = 6.015 Å, b = 6.015 Å, c = 6.101 Å
α = 99.46°, β = 99.46°, γ = 119.98°
Atoms (fractional coordinates):
Ce  0.000  0.000  0.000
Ce  0.335  0.665  0.000
Ce  0.665  0.335  0.000
Sc  0.500  0.500  0.500
Pa  0.167  0.833  0.500
Pa  0.833  0.167  0.500
N  0.096  0.427  0.279
N  0.245  0.245  0.723
N  0.427  0.096  0.279
N  0.573  0.904  0.721
N  0.755  0.755  0.277
N  0.904  0.573  0.721

No. 2
KTiSi3 | PBE | relaxed

Results
- Formation energy from raw total energies: 2.15 eV/atom
- E_tot: -2.90 eV/atom
- Size of the total moment: 1.7 μB per formula unit
- Symmetry: No. 221
- ΔE to the lowest computed polymorph: 1.932 eV per atom

a = 5.048 Å, b = 5.048 Å, c = 5.048 Å
α = 90.00°, β = 90.00°, γ = 90.00°
Atoms (fractional coordinates):
K  0.000  0.000  0.000
Ti  0.500  0.500  0.500
Si  0.000  0.000  0.500
Si  0.000  0.500  0.000
Si  0.500  0.000  0.000

No. 3
AgHgI | PBE | relaxed

Results
- Formation energy from raw total energies: -0.09 eV/atom
- E_tot: -1.66 eV/atom
- Size of the total moment: 0.0 μB per formula unit
- Symmetry: No. 156
- ΔE to the lowest computed polymorph: 0.051 eV per atom

a = 4.416 Å, b = 4.416 Å, c = 5.869 Å
α = 90.00°, β = 90.00°, γ = 120.00°
Atoms (fractional coordinates):
Ag  0.000  0.000  0.000
Hg  0.333  0.667  0.707
I  0.667  0.333  0.231

No. 4
Dy3Th2Sc | PBE | relaxed

Results
- E_tot: -5.74 eV/atom
- Size of the total moment: 0.0 μB per formula unit
- Symmetry: No. 15
- ΔE to the lowest computed polymorph: 0.058 eV per atom

a = 6.401 Å, b = 6.401 Å, c = 10.148 Å
α = 92.32°, β = 92.32°, γ = 116.25°
Atoms (fractional coordinates):
Dy  0.028  0.335  0.617
Dy  0.116  0.884  0.750
Dy  0.335  0.028  0.117
Dy  0.665  0.972  0.883
Dy  0.884  0.116  0.250
Dy  0.972  0.665  0.383
Th  0.203  0.426  0.953
Th  0.426  0.203  0.453
Th  0.574  0.797  0.547
Th  0.797  0.574  0.047
Sc  0.419  0.581  0.250
Sc  0.581  0.419  0.750